# 1
A plane-wave DFT calculation with GGA-PBE was carried out for Dy5ThAu4 after structural relaxation.

Its formation energy is -0.6859 eV per atom. As for the density of states at the Fermi level: 7.64 states/eV/cell. The crystal system is tetragonal. The value obtained for the total DFT energy (no corrections) is -5.040 eV per atom.

The space group is P4/mmm (No. 123) and the conventional cell measures 3.5878, 3.5878 and 19.3418 Å, with angles of 90.00, 90.00 and 90.00 degrees. The asymmetric unit holds Dy at (0.0000, 0.0000, 0.0000), Dy at (0.0000, 0.0000, 0.1881), Dy at (0.0000, 0.0000, 0.3735), Th at (0.5000, 0.5000, 0.5000), Au at (0.5000, 0.5000, 0.0933) and Au at (0.5000, 0.5000, 0.2806).

# 2
A plane-wave DFT calculation with GGA-PBE was carried out for Ac3Hg5S12 after structural relaxation.

As for the density of states at the Fermi level: 122.02 states/eV/cell. The crystal system is cubic. The value obtained for the total DFT energy (no corrections) is -3.815 eV per atom.

The space group is Ia-3d (No. 230) and the conventional cell measures 16.2725, 16.2725 and 16.2725 Å, with angles of 90.00, 90.00 and 90.00 degrees. The asymmetric unit holds Ac at (0.0000, 0.2500, 0.1250), Hg at (0.0000, 0.0000, 0.0000), Hg at (0.0000, 0.2500, 0.3750) and S at (0.0214, 0.0621, 0.6500).

# 3
A plane-wave DFT calculation with GGA-PBE was carried out for TcBi2BBr after structural relaxation.

As for the density of states at the Fermi level: 3.93 states/eV/cell. The crystal system is tetragonal. The value obtained for the total DFT energy (no corrections) is -3.420 eV per atom.

The space group is P4/mmm (No. 123) and the conventional cell measures 5.6124, 5.6124 and 4.1745 Å, with angles of 90.00, 90.00 and 90.00 degrees. The asymmetric unit holds Tc at (0.0000, 0.0000, 0.0000), Bi at (0.0000, 0.5000, 0.5000), B at (0.5000, 0.5000, 0.0000) and Br at (0.5000, 0.5000, 0.5000).

# 4
A plane-wave DFT calculation with GGA-PBE was carried out for Ti5Nb2In4 after structural relaxation.

Its formation energy is 0.0172 eV per atom. As for the density of states at the Fermi level: 12.31 states/eV/cell. The crystal system is monoclinic. The value obtained for the total DFT energy (no corrections) is -6.398 eV per atom.

The space group is P2/m (No. 10) and the conventional cell measures 7.3469, 2.9211 and 9.7730 Å, with angles of 90.00, 93.26 and 90.00 degrees. The asymmetric unit holds Ti at (0.0000, 0.0000, 0.0000), Ti at (0.0774, 0.0000, 0.2794), Ti at (0.2847, 0.0000, 0.8240), Nb at (0.4398, 0.0000, 0.3607), In at (0.2024, 0.5000, 0.5572) and In at (0.3385, 0.5000, 0.0980).

# 5
A plane-wave DFT calculation with GGA-PBE was carried out for CsBi2Ru after structural relaxation.

Its formation energy is 0.7579 eV per atom. As for the density of states at the Fermi level: 14.34 states/eV/cell. Its energy above the most stable polymorph in this dataset is 49.2 kJ/mol of atoms. The crystal system is cubic. The value obtained for the total DFT energy (no corrections) is -3.715 eV per atom.

The space group is Fm-3m (No. 225) and the conventional cell measures 7.6110, 7.6110 and 7.6110 Å, with angles of 90.00, 90.00 and 90.00 degrees. The asymmetric unit holds Cs at (0.0000, 0.0000, 0.0000), Bi at (0.2500, 0.2500, 0.2500) and Ru at (0.0000, 0.0000, 0.5000).

# 6
A plane-wave DFT calculation with GGA-PBE was carried out for CePrTiN4 after structural relaxation.

As for the density of states at the Fermi level: 18.20 states/eV/cell. The crystal system is orthorhombic. The value obtained for the total DFT energy (no corrections) is -8.609 eV per atom.

The space group is Cmcm (No. 63) and the conventional cell measures 5.5493, 12.4938 and 5.5600 Å, with angles of 90.00, 90.00 and 90.00 degrees. The asymmetric unit holds Ce at (0.0000, 0.1065, 0.2500), Pr at (0.0000, 0.3916, 0.2500), Ti at (0.0000, 0.2600, 0.7500), N at (0.0000, 0.0659, 0.7500), N at (0.0000, 0.4166, 0.7500) and N at (0.2500, 0.2500, 0.0000).

# 7
A plane-wave DFT calculation with GGA-PBE was carried out for TiMo2HRh after structural relaxation.

As for the density of states at the Fermi level: 5.15 states/eV/cell. The crystal system is tetragonal. The value obtained for the total DFT energy (no corrections) is -8.171 eV per atom.

The space group is P4/mmm (No. 123) and the conventional cell measures 3.8963, 3.8963 and 4.2299 Å, with angles of 90.00, 90.00 and 90.00 degrees. The asymmetric unit holds Ti at (0.0000, 0.0000, 0.0000), Mo at (0.0000, 0.5000, 0.5000), H at (0.0000, 0.0000, 0.5000) and Rh at (0.5000, 0.5000, 0.0000).

# 8
A plane-wave DFT calculation with GGA-PBE was carried out for K2TlIn4Ga3 after structural relaxation.

Its formation energy is -0.1019 eV per atom. As for the density of states at the Fermi level: 3.49 states/eV/cell. The crystal system is tetragonal. The value obtained for the total DFT energy (no corrections) is -2.562 eV per atom.

The space group is P-4m2 (No. 115) and the conventional cell measures 4.8824, 4.8824 and 12.0406 Å, with angles of 90.00, 90.00 and 90.00 degrees. The asymmetric unit holds K at (0.0000, 0.5000, 0.2454), Tl at (0.0000, 0.0000, 0.5000), In at (0.0000, 0.0000, 0.0000), In at (0.0000, 0.5000, 0.6431), In at (0.5000, 0.5000, 0.0000), Ga at (0.0000, 0.5000, 0.8707) and Ga at (0.5000, 0.5000, 0.5000).

# 9
A plane-wave DFT calculation with GGA-PBE was carried out for FeTcAs2 after structural relaxation.

Its formation energy is 0.0910 eV per atom. As for the density of states at the Fermi level: 11.85 states/eV/cell. Its energy above the most stable polymorph in this dataset is 11.8 kJ/mol of atoms. The crystal system is trigonal. The value obtained for the total DFT energy (no corrections) is -6.941 eV per atom.

The space group is R-3m (No. 166, hexagonal axes) and the conventional cell measures 3.0147, 3.0147 and 22.4680 Å, with angles of 90.00, 90.00 and 120.00 degrees. The asymmetric unit holds Fe at (0.0000, 0.0000, 0.0000), Tc at (0.0000, 0.0000, 0.5000) and As at (0.0000, 0.0000, 0.2523).

# 10
A plane-wave DFT calculation with GGA-PBE was carried out for CsMnCd2Ag after structural relaxation.

Its formation energy is 0.3416 eV per atom. As for the density of states at the Fermi level: 3.23 states/eV/cell. The crystal system is tetragonal. The value obtained for the total DFT energy (no corrections) is -2.599 eV per atom.

The space group is P4/mmm (No. 123) and the conventional cell measures 5.4419, 5.4419 and 5.4426 Å, with angles of 90.00, 90.00 and 90.00 degrees. The asymmetric unit holds Cs at (0.0000, 0.0000, 0.0000), Mn at (0.5000, 0.5000, 0.5000), Cd at (0.0000, 0.5000, 0.5000) and Ag at (0.5000, 0.5000, 0.0000).

# 11
A plane-wave DFT calculation with GGA-PBE was carried out for CrIn2OsSe after structural relaxation.

As for the density of states at the Fermi level: 5.05 states/eV/cell. The crystal system is tetragonal. The value obtained for the total DFT energy (no corrections) is -4.556 eV per atom.

The space group is P4/mmm (No. 123) and the conventional cell measures 5.2330, 5.2330 and 4.5560 Å, with angles of 90.00, 90.00 and 90.00 degrees. The asymmetric unit holds Cr at (0.0000, 0.0000, 0.0000), In at (0.0000, 0.5000, 0.5000), Os at (0.5000, 0.5000, 0.0000) and Se at (0.0000, 0.0000, 0.5000).

# 12
A plane-wave DFT calculation with GGA-PBE was carried out for Al5W after structural relaxation.

Its formation energy is -0.0135 eV per atom. As for the density of states at the Fermi level: 5.19 states/eV/cell. The crystal system is orthorhombic. The value obtained for the total DFT energy (no corrections) is -5.291 eV per atom.

The space group is Amm2 (No. 38) and the conventional cell measures 4.6914, 2.8049 and 14.3754 Å, with angles of 90.00, 90.00 and 90.00 degrees. The asymmetric unit holds Al at (0.0000, 0.0000, 0.0000), Al at (0.0000, 0.0000, 0.3312), Al at (0.0000, 0.0000, 0.6658), Al at (0.5000, 0.0000, 0.2247), Al at (0.5000, 0.0000, 0.8920) and W at (0.5000, 0.0000, 0.5606).

Which of these has the lowest total DFT energy (no corrections)?
CePrTiN4

total DFT energy (no corrections) of number 5 (CsBi2Ru)?
-3.715 eV per atom